1.
Below is a relaxed structure of Al2Hg2H, with properties calculated at the PBE level.

Properties
The total magnetization comes out at 0.00 μB per formula unit. Its density is 7.55 g/cm3.

Cell: 7.5432 7.5432 3.5262 Å, 90.00 90.00 90.00°
Fractional positions:
Al 0.1217 0.3783 0.0000
Al 0.3783 0.8783 0.0000
Al 0.6217 0.1217 0.0000
Al 0.8783 0.6217 0.0000
Hg 0.1879 0.6879 0.5000
Hg 0.3121 0.1879 0.5000
Hg 0.6879 0.8121 0.5000
Hg 0.8121 0.3121 0.5000
H 0.0000 0.0000 0.5000
H 0.5000 0.5000 0.5000



2.
Below is a relaxed structure of Al2Hg2H, with properties calculated at the PBE level.

Properties
The total magnetization comes out at 0.00 μB per formula unit. Its density is 7.16 g/cm3.

Cell: 8.0496 8.0496 8.0496 Å, 153.21 153.21 38.25°
Fractional positions:
Al 0.2500 0.7500 0.5000
Al 0.7500 0.2500 0.5000
Hg 0.0927 0.0927 0.0000
Hg 0.9073 0.9073 0.0000
H 0.5000 0.5000 0.0000



Which one sits at the top of the stability order? 1 does.



1.
Below is a relaxed structure of La2AlHgH, with properties calculated at the PBE level.

Properties
The total magnetization comes out at 0.00 μB per formula unit. Its density is 7.29 g/cm3.

Cell: 5.3016 5.3016 4.1057 Å, 90.00 90.00 90.00°
Fractional positions:
La 0.0000 0.5000 0.0000
La 0.5000 0.0000 0.0000
Al 0.0000 0.0000 0.5000
Hg 0.5000 0.5000 0.5000
H 0.0000 0.0000 0.0000



2.
Below is a relaxed structure of La2AlHgH, with properties calculated at the PBE level.

Properties
The total magnetization comes out at 0.00 μB per formula unit. Its density is 7.37 g/cm3.

Cell: 4.9793 4.9793 4.6048 Å, 90.00 90.00 90.00°
Fractional positions:
La 0.0000 0.5000 0.0000
La 0.5000 0.0000 0.0000
Al 0.0000 0.0000 0.5000
Hg 0.5000 0.5000 0.5000
H 0.5000 0.5000 0.0000



Which one sits at the top of the stability order? 1 does.



1.
Below is a relaxed structure of AlH2I2, with properties calculated at the PBE level.

Properties
The total magnetization comes out at 0.00 μB per formula unit. Its density is 3.38 g/cm3.

Cell: 8.2756 8.2756 4.0602 Å, 90.00 90.00 90.00°
Fractional positions:
Al 0.0000 0.0000 0.0000
Al 0.5000 0.5000 0.0000
H 0.2433 0.2567 0.0000
H 0.2567 0.7567 0.0000
H 0.7433 0.2433 0.0000
H 0.7567 0.7433 0.0000
I 0.2428 0.2572 0.5000
I 0.2572 0.7572 0.5000
I 0.7428 0.2428 0.5000
I 0.7572 0.7428 0.5000



2.
Below is a relaxed structure of AlH2I2, with properties calculated at the PBE level.

Properties
The total magnetization comes out at 0.00 μB per formula unit. Its density is 3.43 g/cm3.

Cell: 5.6240 5.6240 5.6240 Å, 108.83 108.83 110.77°
Fractional positions:
Al 0.0000 0.0000 0.0000
H 0.2427 0.2427 0.0000
H 0.7573 0.7573 0.0000
I 0.2500 0.7500 0.5000
I 0.7500 0.2500 0.5000



Which one sits at the top of the stability order? 2 does.



1.
Below is a relaxed structure of AlTe2HI, with properties calculated at the PBE level.

Properties
The total magnetization comes out at 0.89 μB per formula unit. Its density is 4.14 g/cm3.

Cell: 5.3670 5.3670 5.7092 Å, 90.00 90.00 90.00°
Fractional positions:
Al 0.0000 0.0000 0.0000
Te 0.0000 0.5000 0.0000
Te 0.5000 0.0000 0.0000
H 0.5000 0.5000 0.5000
I 0.0000 0.0000 0.5000



2.
Below is a relaxed structure of AlTe2HI, with properties calculated at the PBE level.

Properties
The total magnetization comes out at 0.00 μB per formula unit. Its density is 4.63 g/cm3.

Cell: 4.4113 4.4113 7.5590 Å, 90.00 90.00 90.00°
Fractional positions:
Al 0.0000 0.0000 0.0000
Te 0.0000 0.5000 0.5000
Te 0.5000 0.0000 0.5000
H 0.5000 0.5000 0.5000
I 0.5000 0.5000 0.0000



Which one sits at the top of the stability order? 2 does.



1.
Below is a relaxed structure of Al3InH, with properties calculated at the PBE level.

Properties
The total magnetization comes out at 0.00 μB per formula unit. Its density is 4.14 g/cm3.

Cell: 4.2908 4.2908 4.2908 Å, 90.00 90.00 90.00°
Fractional positions:
Al 0.0000 0.0000 0.5000
Al 0.0000 0.5000 0.0000
Al 0.5000 0.0000 0.0000
In 0.5000 0.5000 0.5000
H 0.0000 0.0000 0.0000



2.
Below is a relaxed structure of Al3InH, with properties calculated at the PBE level.

Properties
The total magnetization comes out at 0.00 μB per formula unit. Its density is 2.15 g/cm3.

Cell: 5.3333 5.3333 5.3333 Å, 90.00 90.00 90.00°
Fractional positions:
Al 0.0000 0.0000 0.5000
Al 0.0000 0.5000 0.0000
Al 0.5000 0.0000 0.0000
In 0.0000 0.0000 0.0000
H 0.5000 0.5000 0.5000



Which one sits at the top of the stability order? 1 does.



1.
Below is a relaxed structure of AlIn2H, with properties calculated at the PBE level.

Properties
The total magnetization comes out at 0.00 μB per formula unit. Its density is 5.59 g/cm3.

Cell: 4.7669 4.7669 4.7669 Å, 60.00 60.00 60.00°
Fractional positions:
Al 0.0000 0.0000 0.0000
In 0.2500 0.2500 0.2500
In 0.7500 0.7500 0.7500
H 0.5000 0.5000 0.5000



2.
Below is a relaxed structure of AlIn2H, with properties calculated at the PBE level.

Properties
The total magnetization comes out at 0.00 μB per formula unit. Its density is 4.84 g/cm3.

Cell: 7.5671 7.5671 7.5671 Å, 140.08 140.08 57.74°
Fractional positions:
Al 0.0000 0.0000 0.0000
Al 0.7500 0.2500 0.5000
In 0.2239 0.6250 0.0989
In 0.3750 0.4739 0.5989
In 0.5261 0.1250 0.9011
In 0.8750 0.7761 0.4011
H 0.2500 0.7500 0.5000
H 0.5000 0.5000 0.0000



Which one sits at the top of the stability order? 2 does.



1.
Below is a relaxed structure of La2AlInH, with properties calculated at the PBE level.

Properties
The total magnetization comes out at 0.00 μB per formula unit. Its density is 6.08 g/cm3.

Cell: 4.9360 4.9360 4.7158 Å, 90.00 90.00 90.00°
Fractional positions:
La 0.0000 0.5000 0.0000
La 0.5000 0.0000 0.0000
Al 0.0000 0.0000 0.5000
In 0.5000 0.5000 0.5000
H 0.5000 0.5000 0.0000



2.
Below is a relaxed structure of La2AlInH, with properties calculated at the PBE level.

Properties
The total magnetization comes out at 0.00 μB per formula unit. Its density is 6.08 g/cm3.

Cell: 5.0775 5.0775 4.4578 Å, 90.00 90.00 90.00°
Fractional positions:
La 0.0000 0.5000 0.0000
La 0.5000 0.0000 0.0000
Al 0.0000 0.0000 0.5000
In 0.5000 0.5000 0.5000
H 0.0000 0.0000 0.0000



Which one sits at the top of the stability order? 2 does.



1.
Below is a relaxed structure of Li2AlInH, with properties calculated at the PBE level.

Properties
The total magnetization comes out at 0.00 μB per formula unit. Its density is 3.58 g/cm3.

Cell: 4.3039 4.3039 3.9267 Å, 90.00 90.00 90.00°
Fractional positions:
Li 0.0000 0.5000 0.0000
Li 0.5000 0.0000 0.0000
Al 0.0000 0.0000 0.5000
In 0.5000 0.5000 0.5000
H 0.0000 0.0000 0.0000



2.
Below is a relaxed structure of Li2AlInH, with properties calculated at the PBE level.

Properties
The total magnetization comes out at 0.00 μB per formula unit. Its density is 3.38 g/cm3.

Cell: 4.1015 4.1015 4.5790 Å, 90.00 90.00 90.00°
Fractional positions:
Li 0.0000 0.5000 0.0000
Li 0.5000 0.0000 0.0000
Al 0.0000 0.0000 0.5000
In 0.5000 0.5000 0.5000
H 0.5000 0.5000 0.0000



Which one sits at the top of the stability order? 1 does.